This record from Alexandria via LeMat-Bulk describes an optimized crystal structure of HgSClO4. The functional is PBE.

Cell lengths 7.5407, 7.5407, 6.6929 Å; angles 64.58, 64.58, 60.96 degrees
Atoms (fractional coordinates):
Cl: 0.0305 0.0305 0.2347
Cl: 0.9695 0.9695 0.7653
S: 0.6654 0.6654 0.7339
S: 0.3346 0.3346 0.2661
Hg: 0.1650 0.1650 0.8322
Hg: 0.8350 0.8350 0.1678
O: 0.4819 0.4819 0.1262
O: 0.4533 0.1352 0.2094
O: 0.5467 0.8648 0.7906
O: 0.6735 0.6735 0.5032
O: 0.1352 0.4533 0.2094
O: 0.3265 0.3265 0.4968
O: 0.5181 0.5181 0.8738
O: 0.8648 0.5467 0.7906

Properties
Energy relative to the elements, uncorrected (meV/atom): -804
Calculated total energy (eV/atom): -4.53
Total moment (μB/f.u.): 0.000
SG: C2/m
D(E_F) (states/eV per atom): 0.00